(1)
MgRu2Cl: relaxed, PBE.

The structure belongs to space group R-3m (No. 166, hexagonal axes); the cell edges are 2.8905, 2.8905 and 25.3485 Å and the angles 90.00°, 90.00° and 120.00°. The distinct sites, in fractional coordinates, are Mg at (0.0000, 0.0000, 0.0000), Ru at (0.0000, 0.0000, 0.2450) and Cl at (0.0000, 0.0000, 0.5000).

For the total energy, the calculation gives -5.0721 eV/atom. Its uncorrected formation energy is 0.4261 eV/atom. The spin magnetization is 0.00 μB/cell. Its density is 7.11 Mg/m³.



(2)
Mg2RuCl: relaxed, PBE.

The structure belongs to space group I-42d (No. 122); the cell edges are 7.164, 7.164 and 5.783 Å and the angles 90.00°, 90.00° and 90.00°. The distinct sites, in fractional coordinates, are Mg at (0.233, 0.250, 0.125), Ru at (0.000, 0.000, 0.500) and Cl at (0.000, 0.000, 0.000).

For the total energy, the calculation gives -3.4120 eV/atom. Its uncorrected formation energy is 0.1659 eV/atom. The spin magnetization is 0.00 μB/cell. Its density is 4.14 Mg/m³.



(3)
Mg2RuCl: relaxed, PBE.

The structure belongs to space group Pm (No. 6); the cell edges are 2.972, 4.817 and 4.955 Å and the angles 90.00°, 94.36° and 90.00°. The distinct sites, in fractional coordinates, are Mg at (0.000, 0.000, 0.000), Mg at (0.017, 0.500, 0.597), Ru at (0.511, 0.000, 0.515) and Cl at (0.359, 0.500, 0.130).

For the total energy, the calculation gives -3.6942 eV/atom. Its uncorrected formation energy is -0.1163 eV/atom. The spin magnetization is 0.18 μB/cell. Its density is 4.35 Mg/m³.